Material: KTb2Pr3Te6
Method: DFT, PBE-GGA
State: relaxed

Cell and atoms, written as POSCAR:
```
KTb2Pr3Te6
1.0
4.476 0.000 0.000
0.000 9.148 0.316
-2.238 -2.648 9.513
K Tb Pr Te
1 2 3 6
Cartesian
2.238 0.000 0.000
2.238 4.271 6.553
0.000 2.229 3.276
2.238 4.574 0.158
2.238 -0.147 6.560
0.000 6.648 3.269
0.000 6.565 6.498
2.238 4.369 3.406
2.238 -0.064 3.331
0.000 2.335 0.216
2.238 4.166 9.613
0.000 2.132 6.423
```

Properties
The uncorrected formation energy comes out at -1.369 eV/atom.

Material: ReTcHgW2
Method: DFT, PBE-GGA
State: relaxed

Cell and atoms, written as POSCAR:
```
ReTcHgW2
1.0
4.842 0.000 0.000
0.000 4.821 0.000
0.000 0.000 4.842
Re Hg W Tc
1 1 2 1
Cartesian
0.000 2.410 0.000
0.000 0.000 0.000
0.000 0.000 2.421
2.421 0.000 0.000
2.421 2.410 2.421
```

Properties
The energy of formation comes out at 17.09 eV per formula unit.

Material: Tb3CoSe2
Method: DFT, PBE-GGA
State: relaxed

Cell and atoms, written as POSCAR:
```
Tb3CoSe2
1.0
-2.788 1.576 -2.209
-2.034 -5.287 -1.204
-1.401 2.175 6.746
Tb Co Se
3 1 2
Cartesian
-2.704 0.226 3.574
0.000 0.000 0.000
-3.520 -1.763 -0.241
-1.017 -2.644 -0.602
-2.724 0.899 0.653
-3.500 -2.436 2.680
```

Properties
The uncorrected formation energy comes out at -1.170 eV/atom.

Material: Er4AsSe2
Method: DFT, PBE-GGA
State: relaxed

Cell and atoms, written as POSCAR:
```
Er4AsSe2
1.0
-1.077 3.247 -1.886
-5.552 -2.466 2.971
2.694 7.374 11.157
As Se Er
2 4 8
Cartesian
-4.222 1.166 4.419
0.287 6.989 7.823
-2.378 7.929 10.965
-1.557 0.225 1.277
-3.386 5.171 6.791
-0.549 2.984 5.451
-0.927 4.266 7.874
-3.008 3.889 4.368
-3.668 2.084 1.637
-0.267 6.070 10.605
-3.857 6.415 9.203
-0.078 1.739 3.039
-0.539 1.624 -0.943
0.809 5.310 4.636
```

Properties
The uncorrected formation energy comes out at -1.334 eV/atom.

Material: PdSN2O
Method: DFT, PBE-GGA
State: relaxed

Cell and atoms, written as POSCAR:
```
PdSN2O
1.0
3.800 0.000 0.000
0.000 3.800 0.000
0.000 0.000 3.748
S O Pd N
1 1 1 2
Cartesian
0.000 0.000 1.874
0.000 0.000 0.000
1.900 1.900 1.874
0.000 1.900 0.000
1.900 0.000 0.000
```

Properties
The uncorrected formation energy comes out at 2.095 eV/atom.

Material: B2C3
Method: DFT, PBE-GGA
State: relaxed

Cell and atoms, written as POSCAR:
```
B2C3
1.0
-3.607 -9.874 4.608
-3.893 -10.580 2.156
-1.621 -10.868 3.318
B C
4 6
Cartesian
-1.901 -6.529 2.102
-7.700 -26.444 8.512
-5.531 -18.995 6.114
-7.246 -24.883 8.009
-3.617 -12.420 3.998
-0.441 -1.514 0.487
-2.316 -7.954 2.560
-4.022 -13.811 4.445
-0.018 -0.060 0.019
-5.972 -20.509 6.601
```

Properties
The energy of formation comes out at 2.05 eV per formula unit.

Material: SiPHCl2
Method: DFT, PBE-GGA
State: relaxed

Cell and atoms, written as POSCAR:
```
SiPHCl2
1.0
-0.421 -3.274 -3.624
-2.853 -2.787 2.849
-3.779 2.244 -1.589
P Si H Cl
1 1 1 2
Cartesian
-1.889 1.122 -0.794
0.000 0.000 0.000
-3.526 -1.909 -1.182
-1.426 -1.394 1.425
-0.210 -1.637 -1.812
```

Properties
For the total energy, the calculation gives -15.06 eV for the cell shown.

Material: Sm5Er3Tm4
Method: DFT, PBE-GGA
State: relaxed

Cell and atoms, written as POSCAR:
```
Sm5Er3Tm4
1.0
-4.981 2.279 -1.739
-4.853 -1.487 2.456
-0.967 11.525 8.374
Sm Er Tm
5 3 4
Cartesian
-7.519 12.043 8.830
-5.400 6.158 4.545
-2.916 2.873 2.621
-7.884 9.444 6.469
-3.281 0.274 0.260
-4.638 9.177 6.318
-2.910 5.019 5.415
-6.162 3.140 2.773
-6.006 8.754 9.681
-6.358 6.344 7.531
-4.442 5.973 1.560
-4.794 3.563 -0.590
```

Properties
The energy of formation comes out at 2.91 eV per formula unit.

Material: CaAcZnRh
Method: DFT, PBE-GGA
State: relaxed

Cell and atoms, written as POSCAR:
```
CaAcZnRh
1.0
-3.550 -0.418 -3.793
-3.764 -3.589 0.338
-4.926 1.463 0.869
Ac Ca Rh Zn
1 1 1 1
Cartesian
-9.180 -1.908 -1.939
-3.060 -0.636 -0.646
-6.120 -1.272 -1.293
0.000 0.000 0.000
```

Properties
The energy of formation comes out at -1.35 eV per formula unit.

Material: KTlRhBr6
Method: DFT, PBE-GGA
State: relaxed

Cell and atoms, written as POSCAR:
```
KTlRhBr6
1.0
7.448 0.000 0.000
-3.724 6.450 0.000
0.000 0.000 13.369
K Tl Rh Br
2 2 2 12
Cartesian
0.000 0.000 0.000
0.000 0.000 6.684
3.724 2.150 3.342
0.000 4.300 10.027
0.000 4.300 3.342
3.724 2.150 10.027
2.031 4.265 1.868
-1.046 2.559 1.868
2.739 0.374 8.553
4.770 3.891 11.501
1.046 2.559 4.816
-2.031 4.265 4.816
4.709 0.374 11.501
0.985 6.076 4.816
5.755 2.185 8.553
-0.985 6.076 1.868
2.678 3.891 8.553
1.693 2.185 11.501
```

Properties
The uncorrected formation energy comes out at -0.726 eV/atom.

Material: CaOsBr2
Method: DFT, PBE-GGA
State: relaxed

Cell and atoms, written as POSCAR:
```
CaOsBr2
1.0
3.325 0.000 0.000
0.000 6.134 0.000
0.000 0.000 4.453
Ca Os Br
1 1 2
Cartesian
1.662 0.000 2.227
0.000 3.067 2.227
0.000 0.000 0.000
1.662 3.067 0.000
```

Properties
The uncorrected formation energy comes out at 0.194 eV/atom.

Material: LuSi2Rh2
Method: DFT, PBE-GGA
State: relaxed

Cell and atoms, written as POSCAR:
```
LuSi2Rh2
1.0
-2.663 -0.979 -4.953
-2.167 -5.165 -1.101
-0.063 3.861 4.204
Lu Si Rh
1 2 2
Cartesian
0.000 0.000 0.000
-2.995 -3.809 -3.753
-1.836 -2.335 -2.301
-2.571 -0.095 -1.888
-2.323 -2.188 0.038
```

Properties
The uncorrected formation energy comes out at -1.096 eV/atom.

| no. | density (Mg/m³) |
| --- | --- |
| 1 | 6.5 |
| 2 | 12.5 |
| 3 | 8.1 |
| 4 | 8.7 |
| 5 | 5.6 |
| 6 | 2.9 |
| 7 | 1.9 |
| 8 | 8.2 |
| 9 | 7.2 |
| 10 | 4.3 |
| 11 | 7.1 |
| 12 | 9.0 |